Entry 1:
# GdZnSnRu (PBE-GGA, optimized geometry)
data_GdZnSnRu
_chemical_formula_sum 'Gd4 Zn4 Sn4 Ru4'
_symmetry_space_group_name_H-M 'F -4 3 m'
_symmetry_Int_Tables_number 216
_symmetry_space_group_name_Hall 'F -4 2 3'
_cell_length_a 6.757
_cell_length_b 6.757
_cell_length_c 6.757
_cell_angle_alpha 90.00
_cell_angle_beta 90.00
_cell_angle_gamma 90.00
loop_
_atom_site_label
_atom_site_fract_x
_atom_site_fract_y
_atom_site_fract_z
_atom_site_occupancy
Gd1 0.000 0.000 0.000 1
Zn1 0.250 0.250 0.750 1
Sn1 0.250 0.250 0.250 1
Ru1 0.000 0.000 0.500 1
# - DOS at the Fermi energy: 12.78 states/eV per cell
# - Crystal system: cubic
# - Volume: 308 Å³/cell
# - Calculated total energy: -7.393 eV/atom
# - Calculated density: 9.53 g/cm³
# - Calculated formation energy: -0.2344 eV/atom

---

Entry 2:
# SrGdRu4 (PBE-GGA, optimized geometry)
data_SrGdRu4
_chemical_formula_sum 'Sr4 Gd4 Ru16'
_symmetry_space_group_name_H-M 'F -4 3 m'
_symmetry_Int_Tables_number 216
_symmetry_space_group_name_Hall 'F -4 2 3'
_cell_length_a 7.665
_cell_length_b 7.665
_cell_length_c 7.665
_cell_angle_alpha 90.00
_cell_angle_beta 90.00
_cell_angle_gamma 90.00
loop_
_atom_site_label
_atom_site_fract_x
_atom_site_fract_y
_atom_site_fract_z
_atom_site_occupancy
Sr1 0.000 0.000 0.000 1
Gd1 0.250 0.250 0.250 1
Ru1 0.125 0.125 0.625 1
# - DOS at the Fermi energy: 37.71 states/eV per cell
# - Crystal system: cubic
# - Volume: 450 Å³/cell
# - Calculated total energy: -8.743 eV/atom
# - Calculated density: 9.58 g/cm³
# - Calculated formation energy: 0.0681 eV/atom

---

Entry 3:
# GdTaRu2 (PBE-GGA, optimized geometry)
data_GdTaRu2
_chemical_formula_sum 'Gd1 Ta1 Ru2'
_symmetry_space_group_name_H-M 'P 4/m m m'
_symmetry_Int_Tables_number 123
_symmetry_space_group_name_Hall '-P 4 2'
_cell_length_a 3.208
_cell_length_b 3.208
_cell_length_c 7.020
_cell_angle_alpha 90.00
_cell_angle_beta 90.00
_cell_angle_gamma 90.00
loop_
_atom_site_label
_atom_site_fract_x
_atom_site_fract_y
_atom_site_fract_z
_atom_site_occupancy
Gd1 0.000 0.000 0.000 1
Ta1 0.000 0.000 0.500 1
Ru1 0.500 0.500 0.286 1
# - DOS at the Fermi energy: 1.56 states/eV per cell
# - Crystal system: tetragonal
# - Volume: 72 Å³/cell
# - Calculated total energy: -11.507 eV/atom
# - Calculated density: 12.42 g/cm³
# - Calculated formation energy: -0.3858 eV/atom

---

Entry 4:
# GdTaRu4 (PBE-GGA, optimized geometry)
data_GdTaRu4
_chemical_formula_sum 'Gd4 Ta4 Ru16'
_symmetry_space_group_name_H-M 'F -4 3 m'
_symmetry_Int_Tables_number 216
_symmetry_space_group_name_Hall 'F -4 2 3'
_cell_length_a 7.397
_cell_length_b 7.397
_cell_length_c 7.397
_cell_angle_alpha 90.00
_cell_angle_beta 90.00
_cell_angle_gamma 90.00
loop_
_atom_site_label
_atom_site_fract_x
_atom_site_fract_y
_atom_site_fract_z
_atom_site_occupancy
Gd1 0.000 0.000 0.000 1
Ta1 0.250 0.250 0.250 1
Ru1 0.125 0.125 0.625 1
# - DOS at the Fermi energy: 33.14 states/eV per cell
# - Crystal system: cubic
# - Volume: 405 Å³/cell
# - Calculated total energy: -10.567 eV/atom
# - Calculated density: 12.18 g/cm³
# - Calculated formation energy: -0.0608 eV/atom

---

Entry 5:
# GdTaRu2 (PBE-GGA, optimized geometry)
data_GdTaRu2
_chemical_formula_sum 'Gd1 Ta1 Ru2'
_symmetry_space_group_name_H-M 'P 4/m m m'
_symmetry_Int_Tables_number 123
_symmetry_space_group_name_Hall '-P 4 2'
_cell_length_a 4.681
_cell_length_b 4.681
_cell_length_c 3.242
_cell_angle_alpha 90.00
_cell_angle_beta 90.00
_cell_angle_gamma 90.00
loop_
_atom_site_label
_atom_site_fract_x
_atom_site_fract_y
_atom_site_fract_z
_atom_site_occupancy
Gd1 0.000 0.000 0.000 1
Ta1 0.500 0.500 0.000 1
Ru1 0.000 0.500 0.500 1
# - DOS at the Fermi energy: 1.80 states/eV per cell
# - Crystal system: tetragonal
# - Volume: 71 Å³/cell
# - Calculated total energy: -11.370 eV/atom
# - Calculated density: 12.63 g/cm³
# - Calculated formation energy: -0.2492 eV/atom

---

Entry 6:
# TbGd2Ru (PBE-GGA, optimized geometry)
data_TbGd2Ru
_chemical_formula_sum 'Tb3 Gd6 Ru3'
_symmetry_space_group_name_H-M 'R -3 m'
_symmetry_Int_Tables_number 166
_symmetry_space_group_name_Hall '-R 3 2"'
_cell_length_a 3.5265
_cell_length_b 3.5265
_cell_length_c 31.8499
_cell_angle_alpha 90.00
_cell_angle_beta 90.00
_cell_angle_gamma 120.00
loop_
_atom_site_label
_atom_site_fract_x
_atom_site_fract_y
_atom_site_fract_z
_atom_site_occupancy
Tb1 0.0000 0.0000 0.0000 1
Gd1 0.0000 0.0000 0.1064 1
Ru1 0.0000 0.0000 0.5000 1
# - DOS at the Fermi energy: 12.75 states/eV per cell
# - Crystal system: trigonal
# - Volume: 343 Å³/cell
# - Calculated total energy: -10.401 eV/atom
# - Calculated density: 8.34 g/cm³
# - Polymorph energy (0 for the lowest one): 1.08 eV/f.u.
# - Calculated formation energy: 0.1157 eV/atom

---

Entry 7:
# Tb2GdRu (PBE-GGA, optimized geometry)
data_Tb2GdRu
_chemical_formula_sum 'Tb2 Gd1 Ru1'
_symmetry_space_group_name_H-M 'P 4/m m m'
_symmetry_Int_Tables_number 123
_symmetry_space_group_name_Hall '-P 4 2'
_cell_length_a 3.444
_cell_length_b 3.444
_cell_length_c 9.036
_cell_angle_alpha 90.00
_cell_angle_beta 90.00
_cell_angle_gamma 90.00
loop_
_atom_site_label
_atom_site_fract_x
_atom_site_fract_y
_atom_site_fract_z
_atom_site_occupancy
Tb1 0.000 0.000 0.183 1
Gd1 0.500 0.500 0.500 1
Ru1 0.500 0.500 0.000 1
# - DOS at the Fermi energy: 4.83 states/eV per cell
# - Crystal system: tetragonal
# - Volume: 107 Å³/cell
# - Calculated total energy: -8.341 eV/atom
# - Calculated density: 8.93 g/cm³
# - Calculated formation energy: -0.1868 eV/atom

---

Entry 8:
# TbGdRu (PBE-GGA, optimized geometry)
data_TbGdRu
_chemical_formula_sum 'Tb1 Gd1 Ru1'
_symmetry_space_group_name_H-M 'P 3 m 1'
_symmetry_Int_Tables_number 156
_cell_length_a 4.7205
_cell_length_b 4.7205
_cell_length_c 3.6182
_cell_angle_alpha 90.00
_cell_angle_beta 90.00
_cell_angle_gamma 120.00
loop_
_symmetry_equiv_pos_as_xyz
'x,y,z'
'-y,x-y,z'
'-x+y,-x,z'
'-y,-x,z'
'-x+y,y,z'
'x,x-y,z'
loop_
_atom_site_label
_atom_site_fract_x
_atom_site_fract_y
_atom_site_fract_z
_atom_site_occupancy
Tb1 0.0000 0.0000 0.0000 1
Gd1 0.3333 0.6667 0.4488 1
Ru1 0.6667 0.3333 0.7248 1
# - DOS at the Fermi energy: 2.61 states/eV per cell
# - Crystal system: trigonal
# - Volume: 70 Å³/cell
# - Calculated total energy: -9.443 eV/atom
# - Calculated density: 9.92 g/cm³
# - Polymorph energy (0 for the lowest one): 0.56 eV/f.u.
# - Calculated formation energy: -0.1136 eV/atom

---

Entry 9:
# TbGdRu2 (PBE-GGA, optimized geometry)
data_TbGdRu2
_chemical_formula_sum 'Tb1 Gd1 Ru2'
_symmetry_space_group_name_H-M 'P 4/m m m'
_symmetry_Int_Tables_number 123
_symmetry_space_group_name_Hall '-P 4 2'
_cell_length_a 3.422
_cell_length_b 3.422
_cell_length_c 6.843
_cell_angle_alpha 90.00
_cell_angle_beta 90.00
_cell_angle_gamma 90.00
loop_
_atom_site_label
_atom_site_fract_x
_atom_site_fract_y
_atom_site_fract_z
_atom_site_occupancy
Tb1 0.000 0.000 0.000 1
Gd1 0.000 0.000 0.500 1
Ru1 0.500 0.500 0.249 1
# - DOS at the Fermi energy: 5.05 states/eV per cell
# - Crystal system: tetragonal
# - Volume: 80 Å³/cell
# - Calculated total energy: -9.585 eV/atom
# - Calculated density: 10.74 g/cm³
# - Polymorph energy (0 for the lowest one): 0.00 eV/f.u.
# - Calculated formation energy: -0.2694 eV/atom

---

Entry 10:
# TbGd2Ru (PBE-GGA, optimized geometry)
data_TbGd2Ru
_chemical_formula_sum 'Tb1 Gd2 Ru1'
_symmetry_space_group_name_H-M 'P 4/m m m'
_symmetry_Int_Tables_number 123
_symmetry_space_group_name_Hall '-P 4 2'
_cell_length_a 3.450
_cell_length_b 3.450
_cell_length_c 9.006
_cell_angle_alpha 90.00
_cell_angle_beta 90.00
_cell_angle_gamma 90.00
loop_
_atom_site_label
_atom_site_fract_x
_atom_site_fract_y
_atom_site_fract_z
_atom_site_occupancy
Tb1 0.000 0.000 0.000 1
Gd1 0.500 0.500 0.314 1
Ru1 0.000 0.000 0.500 1
# - DOS at the Fermi energy: 4.10 states/eV per cell
# - Crystal system: tetragonal
# - Volume: 107 Å³/cell
# - Calculated total energy: -10.671 eV/atom
# - Calculated density: 8.90 g/cm³
# - Polymorph energy (0 for the lowest one): 0.00 eV/f.u.
# - Calculated formation energy: -0.1543 eV/atom

---

Entry 11:
# TbGdRu (PBE-GGA, optimized geometry)
data_TbGdRu
_chemical_formula_sum 'Tb2 Gd2 Ru2'
_symmetry_space_group_name_H-M 'I 4 m m'
_symmetry_Int_Tables_number 107
_symmetry_space_group_name_Hall 'I 4 -2'
_cell_length_a 3.418
_cell_length_b 3.418
_cell_length_c 13.163
_cell_angle_alpha 90.00
_cell_angle_beta 90.00
_cell_angle_gamma 90.00
loop_
_atom_site_label
_atom_site_fract_x
_atom_site_fract_y
_atom_site_fract_z
_atom_site_occupancy
Tb1 0.000 0.000 0.000 1
Gd1 0.000 0.000 0.253 1
Ru1 0.000 0.000 0.625 1
# - DOS at the Fermi energy: 3.32 states/eV per cell
# - Crystal system: tetragonal
# - Volume: 154 Å³/cell
# - Calculated total energy: -9.629 eV/atom
# - Calculated density: 9.01 g/cm³
# - Polymorph energy (0 for the lowest one): 0.00 eV/f.u.
# - Calculated formation energy: -0.3004 eV/atom

---

Entry 12:
# TbGdRu2 (PBE-GGA, optimized geometry)
data_TbGdRu2
_chemical_formula_sum 'Tb4 Gd4 Ru8'
_symmetry_space_group_name_H-M 'F m -3 m'
_symmetry_Int_Tables_number 225
_symmetry_space_group_name_Hall '-F 4 2 3'
_cell_length_a 6.840
_cell_length_b 6.840
_cell_length_c 6.840
_cell_angle_alpha 90.00
_cell_angle_beta 90.00
_cell_angle_gamma 90.00
loop_
_atom_site_label
_atom_site_fract_x
_atom_site_fract_y
_atom_site_fract_z
_atom_site_occupancy
Tb1 0.000 0.000 0.000 1
Gd1 0.000 0.000 0.500 1
Ru1 0.250 0.250 0.250 1
# - DOS at the Fermi energy: 14.09 states/eV per cell
# - Crystal system: cubic
# - Volume: 320 Å³/cell
# - Calculated total energy: -9.579 eV/atom
# - Calculated density: 10.76 g/cm³
# - Polymorph energy (0 for the lowest one): 0.02 eV/f.u.
# - Calculated formation energy: -0.2633 eV/atom

---

Q: What is the calculated density in the first record?
A: 9.53 g/cm³

---

Copy entry 4 word for word.
# GdTaRu4 (PBE-GGA, optimized geometry)
data_GdTaRu4
_chemical_formula_sum 'Gd4 Ta4 Ru16'
_symmetry_space_group_name_H-M 'F -4 3 m'
_symmetry_Int_Tables_number 216
_symmetry_space_group_name_Hall 'F -4 2 3'
_cell_length_a 7.397
_cell_length_b 7.397
_cell_length_c 7.397
_cell_angle_alpha 90.00
_cell_angle_beta 90.00
_cell_angle_gamma 90.00
loop_
_atom_site_label
_atom_site_fract_x
_atom_site_fract_y
_atom_site_fract_z
_atom_site_occupancy
Gd1 0.000 0.000 0.000 1
Ta1 0.250 0.250 0.250 1
Ru1 0.125 0.125 0.625 1
# - DOS at the Fermi energy: 33.14 states/eV per cell
# - Crystal system: cubic
# - Volume: 405 Å³/cell
# - Calculated total energy: -10.567 eV/atom
# - Calculated density: 12.18 g/cm³
# - Calculated formation energy: -0.0608 eV/atom